No. 1
Pa2BiPt | PBE | relaxed

Lattice parameters (Å, degrees): 4.5564 4.5564 4.5535 90.00 90.00 90.00
Element x y z (fractional)
Pa  0.0000  0.5000  0.0000
Pa  0.5000  0.0000  0.0000
Bi  0.0000  0.0000  0.5000
Pt  0.5000  0.5000  0.5000

Summary:
Energy above the lowest structure with this stoichiometry in eV per atom: 0.150
Energy of formation in eV/atom: -0.28

=====

No. 2
Pm10SmEr4 | PBE | relaxed

Lattice parameters (Å, degrees): 8.8689 8.8689 8.8689 111.74 111.74 105.02
Element x y z (fractional)
Pm  0.0498  0.9439  0.6555
Pm  0.0561  0.7116  0.1059
Pm  0.2500  0.7500  0.5000
Pm  0.2884  0.3943  0.3445
Pm  0.3943  0.0498  0.1059
Pm  0.6057  0.9502  0.8941
Pm  0.7116  0.6057  0.6555
Pm  0.7500  0.2500  0.5000
Pm  0.9439  0.2884  0.8941
Pm  0.9502  0.0561  0.3445
Sm  0.0000  0.0000  0.0000
Er  0.2224  0.5563  0.7786
Er  0.4437  0.2224  0.6661
Er  0.5563  0.7776  0.3339
Er  0.7776  0.4437  0.2214

Summary:
Energy of formation in eV/atom: 0.44

=====

No. 3
Hf2VHPd | PBE | relaxed

Lattice parameters (Å, degrees): 4.5563 4.5563 3.5427 90.00 90.00 90.00
Element x y z (fractional)
Hf  0.0000  0.5000  0.0000
Hf  0.5000  0.0000  0.0000
V  0.0000  0.0000  0.5000
H  0.0000  0.0000  0.0000
Pd  0.5000  0.5000  0.5000

=====

No. 4
Ca2LaZnRh | PBE | relaxed

Lattice parameters (Å, degrees): 5.5346 5.5346 5.4108 90.00 90.00 90.00
Element x y z (fractional)
Ca  0.0000  0.5000  0.0000
Ca  0.5000  0.0000  0.0000
La  0.0000  0.0000  0.5000
Zn  0.5000  0.5000  0.5000
Rh  0.0000  0.0000  0.0000

Summary:
Energy of formation in eV/atom: -0.21

=====

No. 5
Sm2Ga5Cu3 | PBE | relaxed

Lattice parameters (Å, degrees): 8.3838 8.3838 8.3838 105.15 89.41 138.50
Element x y z (fractional)
Sm  0.1295  0.2390  0.3685
Sm  0.3705  0.7390  0.1094
Sm  0.6295  0.2610  0.8906
Sm  0.8705  0.7610  0.6315
Ga  0.0149  0.7500  0.2649
Ga  0.1093  0.6502  0.7596
Ga  0.2500  0.2500  0.0000
Ga  0.3907  0.1502  0.5409
Ga  0.4851  0.7500  0.7351
Ga  0.5149  0.2500  0.2649
Ga  0.6093  0.8498  0.4591
Ga  0.7500  0.7500  0.0000
Ga  0.8907  0.3498  0.2404
Ga  0.9851  0.2500  0.7351
Cu  0.1322  0.8834  0.0155
Cu  0.2500  0.7500  0.5000
Cu  0.3678  0.3834  0.7512
Cu  0.6322  0.6166  0.2488
Cu  0.7500  0.2500  0.5000
Cu  0.8678  0.1166  0.9845

Summary:
Energy above the lowest structure with this stoichiometry in eV per atom: 0.000
Energy of formation in eV/atom: -0.50

=====

No. 6
Tc2IrW | PBE | relaxed

Lattice parameters (Å, degrees): 4.5281 4.5281 4.5281 57.97 57.97 57.97
Element x y z (fractional)
Tc  0.0000  0.0000  0.0000
Tc  0.2267  0.2267  0.2267
Ir  0.5327  0.5327  0.5327
W  0.7580  0.7580  0.7580

Summary:
Energy above the lowest structure with this stoichiometry in eV per atom: 0.390
Energy of formation in eV/atom: 0.27

=====

No. 7
PaTe3Pd12 | PBE | relaxed

Lattice parameters (Å, degrees): 4.1054 4.1054 16.6440 90.00 90.00 90.00
Element x y z (fractional)
Pa  0.0000  0.0000  0.0000
Te  0.0000  0.0000  0.2621
Te  0.0000  0.0000  0.5000
Te  0.0000  0.0000  0.7379
Pd  0.0000  0.5000  0.1186
Pd  0.0000  0.5000  0.3735
Pd  0.0000  0.5000  0.6265
Pd  0.0000  0.5000  0.8814
Pd  0.5000  0.0000  0.1186
Pd  0.5000  0.0000  0.3735
Pd  0.5000  0.0000  0.6265
Pd  0.5000  0.0000  0.8814
Pd  0.5000  0.5000  0.0000
Pd  0.5000  0.5000  0.2421
Pd  0.5000  0.5000  0.5000
Pd  0.5000  0.5000  0.7579

Summary:
Formation energy (no corrections) in meV per atom: -362

=====

No. 8
GeH3 | PBE | relaxed

Lattice parameters (Å, degrees): 3.6964 3.6964 3.6964 129.85 85.87 115.54
Element x y z (fractional)
Ge  0.0000  0.0000  0.0000
H  0.2112  0.7112  0.5000
H  0.4607  0.1732  0.2876
H  0.8856  0.1732  0.7124

=====

No. 9
Mn2OsPt | PBE | relaxed

Lattice parameters (Å, degrees): 4.3129 4.3129 4.3129 60.00 60.00 60.00
Element x y z (fractional)
Mn  0.0000  0.0000  0.0000
Mn  0.2500  0.2500  0.2500
Os  0.5000  0.5000  0.5000
Pt  0.7500  0.7500  0.7500

Summary:
Energy of formation in eV/atom: 0.26

=====

No. 10
Pm4Sm2Cd | PBE | relaxed

Lattice parameters (Å, degrees): 17.7296 17.7296 3.6010 90.00 90.00 168.30
Element x y z (fractional)
Pm  0.0608  0.9392  0.0000
Pm  0.3650  0.6350  0.5000
Pm  0.6350  0.3650  0.5000
Pm  0.9392  0.0608  0.0000
Sm  0.2065  0.7935  0.0000
Sm  0.7935  0.2065  0.0000
Cd  0.5000  0.5000  0.5000

Summary:
Energy above the lowest structure with this stoichiometry in eV per atom: 0.000
Energy of formation in eV/atom: -0.02

=====

No. 11
PuHf2NpP4 | PBE | relaxed

Lattice parameters (Å, degrees): 6.6165 3.8223 6.6376 90.00 109.37 90.00
Element x y z (fractional)
Pu  0.0000  0.0000  0.0000
Hf  0.5000  0.0000  0.5000
Hf  0.5000  0.5000  0.0000
Np  0.0000  0.5000  0.5000
P  0.2661  0.0000  0.7538
P  0.2660  0.5000  0.2556
P  0.7339  0.0000  0.2462
P  0.7340  0.5000  0.7444

Summary:
Energy of formation in eV/atom: -1.20

=====

No. 12
NaNiAs | PBE | relaxed

Lattice parameters (Å, degrees): 4.0982 5.5095 5.7564 79.58 69.15 89.87
Element x y z (fractional)
Na  0.1133  0.3456  0.2717
Na  0.8867  0.6544  0.7283
Ni  0.1968  0.8955  0.1055
Ni  0.8032  0.1045  0.8945
As  0.3967  0.1529  0.7067
As  0.6033  0.8471  0.2933

Summary:
Energy of formation in eV/atom: -0.33

=====

no.,VASP energy (eV per atom)
1,-7.51
2,-4.26
3,-7.81
4,-3.72
5,-4.18
6,-10.37
7,-5.44
8,-3.11
9,-8.64
10,-4.21
11,-9.80
12,-4.24